--- A ---
# TaWBr3

A relaxed TaWBr3 crystal (PBE, Alexandria).

It has space group Pm-3m (No. 221), with a = 5.166 Å, b = 5.166 Å, c = 5.166 Å, α = 90.00°, β = 90.00° and γ = 90.00°. The asymmetric unit holds Ta at (0.000, 0.000, 0.000), W at (0.500, 0.500, 0.500) and Br at (0.000, 0.500, 0.500).

Its volume is 137.9 Å³/cell. As for the total magnetization: 6.56 μB per cell.


--- B ---
# TaWBr3

A relaxed TaWBr3 crystal (PBE, Alexandria).

It has space group Pm-3m (No. 221), with a = 5.173 Å, b = 5.173 Å, c = 5.173 Å, α = 90.00°, β = 90.00° and γ = 90.00°. The asymmetric unit holds Ta at (0.000, 0.000, 0.000), W at (0.500, 0.500, 0.500) and Br at (0.000, 0.000, 0.500).

Its volume is 138.4 Å³/cell. As for the total magnetization: 5.61 μB per cell.


Unit: meV/atom. Relative energies: A 246; B 0.


--- A ---
# YTa2Br

A relaxed YTa2Br crystal (PBE, Alexandria).

It has space group P4/mmm (No. 123), with a = 3.088 Å, b = 3.088 Å, c = 8.793 Å, α = 90.00°, β = 90.00° and γ = 90.00°. The asymmetric unit holds Y at (0.000, 0.000, 0.000), Ta at (0.500, 0.500, 0.286) and Br at (0.000, 0.000, 0.500).

Its volume is 83.8 Å³/cell. As for the total magnetization: 0.00 μB per cell.


--- B ---
# YTa2Br

A relaxed YTa2Br crystal (PBE, Alexandria).

It has space group Fm-3m (No. 225), with a = 6.940 Å, b = 6.940 Å, c = 6.940 Å, α = 90.00°, β = 90.00° and γ = 90.00°. The asymmetric unit holds Y at (0.000, 0.000, 0.000), Ta at (0.250, 0.250, 0.250) and Br at (0.000, 0.000, 0.500).

Its volume is 334.2 Å³/cell. As for the total magnetization: 0.00 μB per cell.


--- C ---
# YTa2Br

A relaxed YTa2Br crystal (PBE, Alexandria).

It has space group P4mm (No. 99), with a = 3.448 Å, b = 3.448 Å, c = 8.536 Å, α = 90.00°, β = 90.00° and γ = 90.00°. The asymmetric unit holds Y at (0.000, 0.000, 0.000), Ta at (0.000, 0.000, 0.614), Ta at (0.500, 0.500, 0.759) and Br at (0.500, 0.500, 0.216).

Its volume is 101.5 Å³/cell. As for the total magnetization: 0.00 μB per cell.


Unit: meV/atom. Relative energies: A 612; B 1158; C 0.


--- A ---
# YTa2Br

A relaxed YTa2Br crystal (PBE, Alexandria).

It has space group I-4m2 (No. 119), with a = 4.704 Å, b = 4.704 Å, c = 7.637 Å, α = 90.00°, β = 90.00° and γ = 90.00°. The asymmetric unit holds Y at (0.000, 0.000, 0.000), Ta at (0.000, 0.000, 0.500), Ta at (0.000, 0.500, 0.750) and Br at (0.000, 0.500, 0.250).

Its volume is 169.0 Å³/cell. As for the total magnetization: 0.00 μB per cell.


--- B ---
# YTa2Br

A relaxed YTa2Br crystal (PBE, Alexandria).

It has space group Immm (No. 71), with a = 3.232 Å, b = 4.680 Å, c = 11.365 Å, α = 90.00°, β = 90.00° and γ = 90.00°. The asymmetric unit holds Y at (0.000, 0.000, 0.000), Ta at (0.000, 0.500, 0.239) and Br at (0.000, 0.000, 0.500).

Its volume is 171.9 Å³/cell. As for the total magnetization: 0.00 μB per cell.


--- C ---
# YTa2Br

A relaxed YTa2Br crystal (PBE, Alexandria).

It has space group C2/m (No. 12), with a = 11.510 Å, b = 3.272 Å, c = 4.684 Å, α = 90.00°, β = 103.98° and γ = 90.00°. The asymmetric unit holds Y at (0.000, 0.000, 0.000), Ta at (0.243, 0.000, 0.748) and Br at (0.000, 0.500, 0.500).

Its volume is 171.2 Å³/cell. As for the total magnetization: 0.00 μB per cell.


--- D ---
# YTa2Br

A relaxed YTa2Br crystal (PBE, Alexandria).

It has space group Cmm2 (No. 35), with a = 3.659 Å, b = 5.301 Å, c = 9.206 Å, α = 90.00°, β = 90.00° and γ = 90.00°. The asymmetric unit holds Y at (0.000, 0.000, 0.000), Ta at (0.000, 0.000, 0.526), Ta at (0.000, 0.500, 0.734) and Br at (0.000, 0.500, 0.249).

Its volume is 178.6 Å³/cell. As for the total magnetization: 0.00 μB per cell.


Unit: meV/atom. Relative energies: A 506; B 201; C 189; D 0.


--- A ---
# YTa2Br

A relaxed YTa2Br crystal (PBE, Alexandria).

It has space group Cmmm (No. 65), with a = 3.722 Å, b = 4.878 Å, c = 9.393 Å, α = 90.00°, β = 90.00° and γ = 90.00°. The asymmetric unit holds Y at (0.000, 0.000, 0.000), Ta at (0.000, 0.500, 0.273) and Br at (0.000, 0.000, 0.500).

Its volume is 170.5 Å³/cell. As for the total magnetization: 0.00 μB per cell.


--- B ---
# YTa2Br

A relaxed YTa2Br crystal (PBE, Alexandria).

It has space group P4/mmm (No. 123), with a = 3.959 Å, b = 3.959 Å, c = 5.528 Å, α = 90.00°, β = 90.00° and γ = 90.00°. The asymmetric unit holds Y at (0.000, 0.000, 0.000), Ta at (0.000, 0.500, 0.500) and Br at (0.500, 0.500, 0.000).

Its volume is 86.7 Å³/cell. As for the total magnetization: 0.00 μB per cell.


--- C ---
# YTa2Br

A relaxed YTa2Br crystal (PBE, Alexandria).

It has space group Amm2 (No. 38), with a = 3.391 Å, b = 3.498 Å, c = 15.688 Å, α = 90.00°, β = 90.00° and γ = 90.00°. The asymmetric unit holds Y at (0.000, 0.000, 0.000), Ta at (0.000, 0.000, 0.210), Ta at (0.500, 0.000, 0.628) and Br at (0.500, 0.000, 0.366).

Its volume is 186.1 Å³/cell. As for the total magnetization: 0.00 μB per cell.


--- D ---
# YTa2Br

A relaxed YTa2Br crystal (PBE, Alexandria).

It has space group R3m (No. 160, hexagonal axes), with a = 3.4112 Å, b = 3.4112 Å, c = 27.1884 Å, α = 90.00°, β = 90.00° and γ = 120.00°. The asymmetric unit holds Y at (0.0000, 0.0000, 0.0000), Ta at (0.0000, 0.0000, 0.4927), Ta at (0.0000, 0.0000, 0.7586) and Br at (0.0000, 0.0000, 0.2478).

Its volume is 274.0 Å³/cell. As for the total magnetization: 0.00 μB per cell.


Unit: meV/atom. Relative energies: A 678; B 487; C 0; D 143.


--- A ---
# YTa2Br

A relaxed YTa2Br crystal (PBE, Alexandria).

It has space group Pmmm (No. 47), with a = 3.167 Å, b = 5.170 Å, c = 5.497 Å, α = 90.00°, β = 90.00° and γ = 90.00°. The asymmetric unit holds Y at (0.000, 0.000, 0.000), Ta at (0.500, 0.500, 0.235) and Br at (0.000, 0.000, 0.500).

Its volume is 90.0 Å³/cell. As for the total magnetization: 0.00 μB per cell.


--- B ---
# YTa2Br

A relaxed YTa2Br crystal (PBE, Alexandria).

It has space group P2/m (No. 10), with a = 3.283 Å, b = 5.810 Å, c = 4.683 Å, α = 90.00°, β = 90.13° and γ = 90.00°. The asymmetric unit holds Y at (0.000, 0.000, 0.000), Ta at (0.265, 0.500, 0.225) and Br at (0.500, 0.000, 0.500).

Its volume is 89.3 Å³/cell. As for the total magnetization: 0.00 μB per cell.


Unit: meV/atom. Relative energies: A 261; B 0.


--- A ---
# YTa2Br

A relaxed YTa2Br crystal (PBE, Alexandria).

It has space group Imm2 (No. 44), with a = 3.390 Å, b = 5.549 Å, c = 9.491 Å, α = 90.00°, β = 90.00° and γ = 90.00°. The asymmetric unit holds Y at (0.000, 0.000, 0.000), Ta at (0.000, 0.000, 0.494), Ta at (0.000, 0.500, 0.216) and Br at (0.000, 0.500, 0.767).

Its volume is 178.5 Å³/cell. As for the total magnetization: 0.00 μB per cell.


--- B ---
# YTa2Br

A relaxed YTa2Br crystal (PBE, Alexandria).

It has space group Cm (No. 8), with a = 9.837 Å, b = 3.215 Å, c = 5.996 Å, α = 90.00°, β = 106.45° and γ = 90.00°. The asymmetric unit holds Y at (0.000, 0.000, 0.000), Ta at (0.004, 0.500, 0.539), Ta at (0.229, 0.000, 0.586) and Br at (0.267, 0.500, 0.211).

Its volume is 181.9 Å³/cell. As for the total magnetization: 0.00 μB per cell.


Unit: meV/atom. Relative energies: A 122; B 0.


--- A ---
# TaZn2Br

A relaxed TaZn2Br crystal (PBE, Alexandria).

It has space group C2/m (No. 12), with a = 11.205 Å, b = 2.991 Å, c = 4.534 Å, α = 90.00°, β = 101.51° and γ = 90.00°. The asymmetric unit holds Ta at (0.000, 0.000, 0.000), Zn at (0.224, 0.500, 0.220) and Br at (0.000, 0.500, 0.500).

Its volume is 148.9 Å³/cell. As for the total magnetization: 0.00 μB per cell.


--- B ---
# TaZn2Br

A relaxed TaZn2Br crystal (PBE, Alexandria).

It has space group I4/mmm (No. 139), with a = 3.817 Å, b = 3.817 Å, c = 9.641 Å, α = 90.00°, β = 90.00° and γ = 90.00°. The asymmetric unit holds Ta at (0.000, 0.000, 0.000), Zn at (0.000, 0.500, 0.250) and Br at (0.000, 0.000, 0.500).

Its volume is 140.5 Å³/cell. As for the total magnetization: 0.00 μB per cell.


--- C ---
# TaZn2Br

A relaxed TaZn2Br crystal (PBE, Alexandria).

It has space group Cm (No. 8), with a = 9.306 Å, b = 3.019 Å, c = 5.248 Å, α = 90.00°, β = 100.30° and γ = 90.00°. The asymmetric unit holds Ta at (0.000, 0.000, 0.000), Zn at (0.028, 0.500, 0.526), Zn at (0.274, 0.000, 0.702) and Br at (0.239, 0.500, 0.165).

Its volume is 145.1 Å³/cell. As for the total magnetization: 0.00 μB per cell.


Unit: meV/atom. Relative energies: A 152; B 324; C 0.


--- A ---
# TaZn2Br

A relaxed TaZn2Br crystal (PBE, Alexandria).

It has space group Imm2 (No. 44), with a = 3.060 Å, b = 4.329 Å, c = 14.236 Å, α = 90.00°, β = 90.00° and γ = 90.00°. The asymmetric unit holds Ta at (0.000, 0.000, 0.000), Zn at (0.000, 0.000, 0.553), Zn at (0.000, 0.500, 0.656) and Br at (0.000, 0.500, 0.350).

Its volume is 188.6 Å³/cell. As for the total magnetization: 0.00 μB per cell.


--- B ---
# TaZn2Br

A relaxed TaZn2Br crystal (PBE, Alexandria).

It has space group I-4m2 (No. 119), with a = 3.978 Å, b = 3.978 Å, c = 9.015 Å, α = 90.00°, β = 90.00° and γ = 90.00°. The asymmetric unit holds Ta at (0.000, 0.000, 0.000), Zn at (0.000, 0.000, 0.500), Zn at (0.000, 0.500, 0.750) and Br at (0.000, 0.500, 0.250).

Its volume is 142.6 Å³/cell. As for the total magnetization: 0.00 μB per cell.


--- C ---
# TaZn2Br

A relaxed TaZn2Br crystal (PBE, Alexandria).

It has space group I-42d (No. 122), with a = 7.753 Å, b = 7.753 Å, c = 5.265 Å, α = 90.00°, β = 90.00° and γ = 90.00°. The asymmetric unit holds Ta at (0.000, 0.000, 0.000), Zn at (0.229, 0.250, 0.125) and Br at (0.000, 0.000, 0.500).

Its volume is 316.5 Å³/cell. As for the total magnetization: 0.00 μB per cell.


Unit: meV/atom. Relative energies: A 0; B 465; C 550.


--- A ---
# TaZnBr3

A relaxed TaZnBr3 crystal (PBE, Alexandria).

It has space group Pm-3m (No. 221), with a = 5.106 Å, b = 5.106 Å, c = 5.106 Å, α = 90.00°, β = 90.00° and γ = 90.00°. The asymmetric unit holds Ta at (0.000, 0.000, 0.000), Zn at (0.500, 0.500, 0.500) and Br at (0.000, 0.500, 0.500).

Its volume is 133.1 Å³/cell. As for the total magnetization: 3.76 μB per cell.


--- B ---
# TaZnBr3

A relaxed TaZnBr3 crystal (PBE, Alexandria).

It has space group Pm-3m (No. 221), with a = 5.186 Å, b = 5.186 Å, c = 5.186 Å, α = 90.00°, β = 90.00° and γ = 90.00°. The asymmetric unit holds Ta at (0.000, 0.000, 0.000), Zn at (0.500, 0.500, 0.500) and Br at (0.000, 0.000, 0.500).

Its volume is 139.5 Å³/cell. As for the total magnetization: 0.00 μB per cell.


Unit: meV/atom. Relative energies: A 739; B 0.


--- A ---
# TaZn3Br

A relaxed TaZn3Br crystal (PBE, Alexandria).

It has space group Pm-3m (No. 221), with a = 4.865 Å, b = 4.865 Å, c = 4.865 Å, α = 90.00°, β = 90.00° and γ = 90.00°. The asymmetric unit holds Ta at (0.000, 0.000, 0.000), Zn at (0.000, 0.500, 0.500) and Br at (0.500, 0.500, 0.500).

Its volume is 115.2 Å³/cell. As for the total magnetization: 2.18 μB per cell.


--- B ---
# TaZn3Br

A relaxed TaZn3Br crystal (PBE, Alexandria).

It has space group Pm-3m (No. 221), with a = 5.259 Å, b = 5.259 Å, c = 5.259 Å, α = 90.00°, β = 90.00° and γ = 90.00°. The asymmetric unit holds Ta at (0.000, 0.000, 0.000), Zn at (0.000, 0.000, 0.500) and Br at (0.500, 0.500, 0.500).

Its volume is 145.4 Å³/cell. As for the total magnetization: 2.12 μB per cell.


Unit: meV/atom. Relative energies: A 472; B 0.